Record 1
VASP calculation (GGA-PBE) on crystalline Be17AlOs at its relaxed geometry.

a = 5.5079 Å, b = 5.5079 Å, c = 5.5079 Å
α = 81.93°, β = 81.93°, γ = 81.93°
Closest atoms and distances in Å follow each position.
Sites, in units of the cell vectors:
Be: 0.3075 0.9963 0.6955  8 Be 2.10-2.25
Be: 0.6955 0.3075 0.9963  8 Be 2.10-2.25
Be: 0.9963 0.6955 0.3075  8 Be 2.10-2.25
Be: 0.3075 0.6955 0.9963  8 Be 2.10-2.25
Be: 0.9963 0.3075 0.6955  8 Be 2.10-2.25
Be: 0.6955 0.9963 0.3075  8 Be 2.10-2.25
Be: 0.3491 0.8280 0.3491  8 Be 2.07-2.22
Be: 0.3491 0.3491 0.8280  8 Be 2.07-2.22
Be: 0.8280 0.3491 0.3491  8 Be 2.07-2.22
Be: 0.6584 0.1510 0.6584  9 Be 2.07-2.21
Be: 0.6584 0.6584 0.1510  9 Be 2.07-2.21
Be: 0.1510 0.6584 0.6584  9 Be 2.07-2.21
Be: 0.9993 0.4977 0.9993  10 Be 2.08-2.21
Be: 0.9993 0.9993 0.4977  10 Be 2.08-2.21
Be: 0.4977 0.9993 0.9993  10 Be 2.08-2.21
Be: 0.8981 0.8981 0.8981  7 Be 2.16-2.21
Be: 0.0979 0.0979 0.0979  7 Be 2.16-2.33
Al: 0.3426 0.3426 0.3426  19 Be 2.53-2.82
Os: 0.6726 0.6726 0.6726  16 Be 2.44-2.71

Summary:
The symmetry is No. 160.



Record 2
VASP calculation (GGA-PBE) on crystalline Be2AlOs at its relaxed geometry.

a = 7.8497 Å, b = 7.8498 Å, c = 7.8497 Å
α = 19.97°, β = 19.97°, γ = 19.97°
Closest atoms and distances in Å follow each position.
Sites, in units of the cell vectors:
Be: 0.9958 0.9958 0.9958  3 Os 2.41, 3 Al 2.56
Be: 0.5042 0.5042 0.5042  3 Os 2.41, 3 Al 2.56
Os: 0.2500 0.2500 0.2500  6 Be 2.41
Al: 0.7500 0.7500 0.7500  6 Be 2.56, 6 Al 2.72

Summary:
The symmetry is No. 166.



Record 3
VASP calculation (GGA-PBE) on crystalline Be2AlOs at its relaxed geometry.

a = 2.6650 Å, b = 2.6650 Å, c = 7.7593 Å
α = 90.00°, β = 90.00°, γ = 114.70°
Closest atoms and distances in Å follow each position.
Sites, in units of the cell vectors:
Be: 0.0000 0.0000 0.0184  2 Os 2.30, 2 Al 2.53
Be: 0.0000 0.0000 0.4816  2 Os 2.30, 2 Al 2.53
Os: 0.5000 0.5000 0.2500  4 Be 2.30
Al: 0.5000 0.5000 0.7500  4 Be 2.53, 4 Al 2.66

Summary:
The symmetry is No. 65.



Record 4
VASP calculation (GGA-PBE) on crystalline Be2Al2Os at its relaxed geometry.

a = 6.1456 Å, b = 6.1456 Å, c = 3.1340 Å
α = 90.00°, β = 90.00°, γ = 90.00°
Closest atoms and distances in Å follow each position.
Sites, in units of the cell vectors:
Be: 0.3785 0.8785 0.0000  1 Be 2.11
Be: 0.8785 0.6215 0.0000  1 Be 2.11
Be: 0.6215 0.1215 0.0000  1 Be 2.11
Be: 0.1215 0.3785 0.0000  1 Be 2.11
Os: 0.0000 0.0000 0.0000  4 Be 2.44
Os: 0.5000 0.5000 0.0000  4 Be 2.44
Al: 0.1744 0.6744 0.5000  6 Be 2.37-2.42
Al: 0.6744 0.8256 0.5000  6 Be 2.37-2.42
Al: 0.8256 0.3256 0.5000  6 Be 2.37-2.42
Al: 0.3256 0.1744 0.5000  6 Be 2.37-2.42

Summary:
The symmetry is No. 127.



Record 5
VASP calculation (GGA-PBE) on crystalline BeAlOs at its relaxed geometry.

a = 3.9882 Å, b = 3.9882 Å, c = 2.7491 Å
α = 90.00°, β = 90.00°, γ = 120.00°
Closest atoms and distances in Å follow each position.
Sites, in units of the cell vectors:
Be: 0.6667 0.3333 0.4131  3 Os 2.33, 3 Al 2.52
Os: 0.3333 0.6667 0.5476  3 Be 2.33
Al: 0.0000 0.0000 0.0393  3 Be 2.52, 6 Os 2.67-2.69, 2 Al 2.75

Summary:
The calculation puts the offset from the most stable computed form at 142 meV per atom. The symmetry is No. 156.



Record 6
VASP calculation (GGA-PBE) on crystalline BeAlOs at its relaxed geometry.

a = 3.8187 Å, b = 3.8187 Å, c = 3.8187 Å
α = 60.00°, β = 60.00°, γ = 60.00°
Closest atoms and distances in Å follow each position.
Sites, in units of the cell vectors:
Be: 0.7500 0.7500 0.7500  4 Os 2.34, 4 Al 2.34
Os: 0.0000 0.0000 0.0000  4 Be 2.34
Al: 0.5000 0.5000 0.5000  4 Be 2.34

Summary:
The calculation puts the offset from the most stable computed form at 337 meV per atom. The symmetry is No. 216.



Record 7
VASP calculation (GGA-PBE) on crystalline Be2AlOs at its relaxed geometry.

a = 2.6791 Å, b = 2.6791 Å, c = 7.6261 Å
α = 90.00°, β = 90.00°, γ = 115.32°
Closest atoms and distances in Å follow each position.
Sites, in units of the cell vectors:
Be: 0.0000 0.0000 0.0178  2 Be 2.24, 2 Al 2.45
Be: 0.5000 0.5000 0.2437  2 Be 2.24, 2 Os 2.31
Os: 0.0000 0.0000 0.4813  2 Be 2.31, 2 Al 2.54
Al: 0.5000 0.5000 0.7571  2 Be 2.45, 2 Os 2.54, 4 Al 2.68

Summary:
The symmetry is No. 35.



Record 8
VASP calculation (GGA-PBE) on crystalline Be6AlOs at its relaxed geometry.

a = 4.3561 Å, b = 4.3561 Å, c = 4.3561 Å
α = 90.00°, β = 90.00°, γ = 90.00°
Closest atoms and distances in Å follow each position.
Sites, in units of the cell vectors:
Be: 0.5000 0.7616 0.0000  2 Be 2.08-2.28
Be: 0.7616 0.0000 0.5000  2 Be 2.08-2.28
Be: 0.0000 0.5000 0.2384  2 Be 2.08-2.28
Be: 0.2384 0.0000 0.5000  2 Be 2.08-2.28
Be: 0.5000 0.2384 0.0000  2 Be 2.08-2.28
Be: 0.0000 0.5000 0.7616  2 Be 2.08-2.28
Al: 0.5000 0.5000 0.5000  12 Be 2.46
Os: 0.0000 0.0000 0.0000  12 Be 2.41

Summary:
The symmetry is No. 200.



Record 9
VASP calculation (GGA-PBE) on crystalline Be2AlOs at its relaxed geometry.

a = 3.0494 Å, b = 3.0494 Å, c = 5.0382 Å
α = 90.00°, β = 90.00°, γ = 90.00°
Closest atoms and distances in Å follow each position.
Sites, in units of the cell vectors:
Be: 0.0000 0.0000 0.0202  1 Os 2.31, 4 Be 2.46, 4 Al 2.56
Be: 0.5000 0.5000 0.2539  4 Os 2.44, 4 Be 2.46, 2 Al 2.48-2.55
Os: 0.0000 0.0000 0.4792  5 Be 2.31-2.44, 4 Al 2.54
Al: 0.5000 0.5000 0.7468  6 Be 2.48-2.56, 4 Os 2.54

Summary:
The symmetry is No. 99.



Record 10
VASP calculation (GGA-PBE) on crystalline Be2AlOs at its relaxed geometry.

a = 3.0069 Å, b = 3.0069 Å, c = 5.0911 Å
α = 90.00°, β = 90.00°, γ = 90.00°
Closest atoms and distances in Å follow each position.
Sites, in units of the cell vectors:
Be: 0.0000 0.0000 0.0336  1 Be 2.20, 4 Os 2.39
Be: 0.0000 0.0000 0.4664  1 Be 2.20, 4 Os 2.39
Os: 0.5000 0.5000 0.2500  8 Be 2.39, 2 Al 2.55
Al: 0.5000 0.5000 0.7500  2 Os 2.55, 8 Be 2.57

Summary:
The symmetry is No. 123.



Record 11
VASP calculation (GGA-PBE) on crystalline Be2AlOs at its relaxed geometry.

a = 4.0412 Å, b = 4.0412 Å, c = 4.0412 Å
α = 60.00°, β = 60.00°, γ = 60.00°
Closest atoms and distances in Å follow each position.
Sites, in units of the cell vectors:
Be: 0.0000 0.0000 0.0000  4 Be 2.47, 4 Os 2.47
Be: 0.2500 0.2500 0.2500  4 Be 2.47, 4 Al 2.47
Os: 0.7500 0.7500 0.7500  4 Be 2.47, 4 Al 2.47
Al: 0.5000 0.5000 0.5000  4 Be 2.47, 4 Os 2.47

Summary:
The symmetry is No. 216.



Record 12
VASP calculation (GGA-PBE) on crystalline Be3AlOs at its relaxed geometry.

a = 4.0399 Å, b = 4.0399 Å, c = 4.0399 Å
α = 90.00°, β = 90.00°, γ = 90.00°
Closest atoms and distances in Å follow each position.
Sites, in units of the cell vectors:
Be: 0.0000 0.5000 0.0000  2 Al 2.02
Be: 0.0000 0.0000 0.5000  2 Al 2.02
Be: 0.5000 0.0000 0.0000  2 Al 2.02
Os: 0.5000 0.5000 0.5000  12 Be 2.86
Al: 0.0000 0.0000 0.0000  6 Be 2.02

Summary:
The calculation puts the offset from the most stable computed form at 854 meV per atom. The symmetry is No. 221.



Number 1: ΔH_f (0 K) -47 meV/atom, calculated volume 8.6 Å³/atom, Fermi-level density of states 5.327 states/eV/f.u.. Number 2: ΔH_f (0 K) 121 meV/atom, calculated volume 12.3 Å³/atom, Fermi-level density of states 1.605 states/eV/f.u.. Number 3: ΔH_f (0 K) 219 meV/atom, calculated volume 12.5 Å³/atom, Fermi-level density of states 1.264 states/eV/f.u.. Number 4: ΔH_f (0 K) -76 meV/atom, calculated volume 11.8 Å³/atom, Fermi-level density of states 2.868 states/eV/f.u.. Number 5: ΔH_f (0 K) -188 meV/atom, calculated volume 12.6 Å³/atom, Fermi-level density of states 1.645 states/eV/f.u.. Number 6: ΔH_f (0 K) 7 meV/atom, calculated volume 13.1 Å³/atom, Fermi-level density of states 2.261 states/eV/f.u.. Number 7: ΔH_f (0 K) 256 meV/atom, calculated volume 12.4 Å³/atom, Fermi-level density of states 1.458 states/eV/f.u.. Number 8: ΔH_f (0 K) 176 meV/atom, calculated volume 10.3 Å³/atom, Fermi-level density of states 4.366 states/eV/f.u.. Number 9: ΔH_f (0 K) -120 meV/atom, calculated volume 11.7 Å³/atom, Fermi-level density of states 0.643 states/eV/f.u.. Number 10: ΔH_f (0 K) -207 meV/atom, calculated volume 11.5 Å³/atom, Fermi-level density of states 1.973 states/eV/f.u.. Number 11: ΔH_f (0 K) -37 meV/atom, calculated volume 11.7 Å³/atom, Fermi-level density of states 2.713 states/eV/f.u.. Number 12: ΔH_f (0 K) 1528 meV/atom, calculated volume 13.2 Å³/atom, Fermi-level density of states 4.831 states/eV/f.u..